No. 1
Entry from Alexandria: a relaxed BaPbW3 crystal (GGA-PBEsol).

Properties
The calculated volume comes out at 25.228 A^3/atom. As for the formation energy: 3.691 eV/atom. The value obtained for the energy above the most stable polymorph in this dataset is 0.8819 eV per atom. Its space group is Pm-3m. The calculation puts the density of states at the Fermi level at 9.3 states/eV/f.u.

Structure (extended XYZ):
```
5
Lattice="5.015 0.000 0.000 0.000 5.015 0.000 0.000 0.000 5.015" Properties=species:S:1:pos:R:3 pbc="T T T"
Ba 0.000 0.000 0.000
Pb 2.508 2.508 2.508
W 0.000 0.000 2.508
W 0.000 2.508 0.000
W 2.508 0.000 0.000
```

No. 2
Entry from Alexandria: a relaxed NaInMo2O8 crystal (GGA-PBEsol).

Properties
The calculated volume comes out at 15.748 A^3/atom. Its space group is P-1. The calculation puts the density of states at the Fermi level at 0.0 states/eV/f.u. The value obtained for the total energy is -372.35 eV for the cell shown.

Structure (extended XYZ):
```
48
Lattice="7.145 0.000 0.000 -1.125 7.058 0.000 -0.783 -0.616 14.988" Properties=species:S:1:pos:R:3 pbc="T T T"
Na -0.322 0.982 5.414
Na 1.657 5.201 12.995
Na 3.581 1.241 1.993
Na 5.559 5.460 9.574
In 0.246 5.636 1.712
In 1.534 1.174 8.762
In 3.704 5.268 6.226
In 4.992 0.806 13.276
Mo -0.212 1.787 1.751
Mo 0.062 4.921 5.424
Mo 1.467 1.408 12.652
Mo 1.943 4.892 9.160
Mo 3.294 1.550 5.828
Mo 3.770 5.034 2.336
Mo 5.176 1.521 9.564
Mo 5.449 4.656 13.237
O -0.570 0.813 8.685
O -0.197 3.251 5.191
O -0.826 5.115 11.819
O -0.025 0.701 13.295
O 0.271 3.489 1.854
O -0.545 4.882 14.577
O 0.211 5.740 3.859
O 1.245 0.759 1.577
O 0.628 6.106 9.024
O 1.744 1.067 6.622
O 1.438 1.417 10.887
O 1.364 3.303 8.633
O 1.568 5.133 6.350
O 1.583 3.008 13.234
O 2.893 1.667 4.175
O 2.356 5.976 1.741
O 2.882 0.466 13.248
O 2.344 4.775 10.813
O 3.655 3.434 1.754
O 3.670 1.309 8.638
O 3.873 3.139 6.355
O 3.800 5.025 4.101
O 3.494 5.376 8.366
O 4.609 0.336 5.965
O 3.993 5.683 13.411
O 5.026 0.702 11.130
O 5.782 1.560 0.411
O 4.967 2.953 13.134
O 5.262 5.742 1.693
O 6.064 1.327 3.169
O 5.434 3.191 9.797
O 5.808 5.629 6.303
```

No. 3
Entry from Alexandria: a relaxed Tc2TeRh crystal (GGA-PBEsol).

Properties
The calculated volume comes out at 15.770 A^3/atom. Its space group is P2/m. The calculation puts the density of states at the Fermi level at 4.4 states/eV/f.u. The value obtained for the total energy is -32.84 eV for the cell shown.

Structure (extended XYZ):
```
4
Lattice="2.880 0.000 0.000 0.000 4.099 0.000 -1.206 0.000 5.343" Properties=species:S:1:pos:R:3 pbc="T T T"
Tc 0.022 0.000 1.211
Tc 1.652 0.000 4.132
Te 0.837 2.050 2.672
Rh 1.440 2.050 0.000
```

No. 4
Entry from Alexandria: a relaxed La2SiIr crystal (GGA-PBEsol).

Properties
The calculated volume comes out at 22.757 A^3/atom. Its space group is R3m. The calculation puts the density of states at the Fermi level at 3.7 states/eV/f.u. The value obtained for the total energy is -29.16 eV for the cell shown.

Structure (extended XYZ):
```
4
Lattice="2.178 1.257 5.542 -2.178 1.257 5.542 0.000 -2.514 5.542" Properties=species:S:1:pos:R:3 pbc="T T T"
La 0.000 0.000 0.000
La 0.000 0.000 3.461
Si 0.000 0.000 7.158
Ir 0.000 0.000 12.959
```

No. 5
Entry from Alexandria: a relaxed ZrNbCr4 crystal (GGA-PBEsol).

Properties
The calculated volume comes out at 14.015 A^3/atom. As for the formation energy: -0.042 eV/atom. Its space group is F-43m. The calculation puts the density of states at the Fermi level at 3.5 states/eV/f.u.

Structure (extended XYZ):
```
6
Lattice="0.000 3.477 3.477 3.477 0.000 3.477 3.477 3.477 0.000" Properties=species:S:1:pos:R:3 pbc="T T T"
Zr 0.000 0.000 0.000
Nb 5.216 5.216 5.216
Cr 2.610 2.610 2.610
Cr 4.345 4.345 2.610
Cr 4.345 2.610 4.345
Cr 2.610 4.345 4.345
```

No. 6
Entry from Alexandria: a relaxed ScCu4Rh crystal (GGA-PBEsol).

Properties
The calculated volume comes out at 12.958 A^3/atom. As for the formation energy: -0.266 eV/atom. Its space group is F-43m. The calculation puts the density of states at the Fermi level at 3.9 states/eV/f.u.

Structure (extended XYZ):
```
6
Lattice="0.000 3.388 3.388 3.388 0.000 3.388 3.388 3.388 0.000" Properties=species:S:1:pos:R:3 pbc="T T T"
Sc 0.000 0.000 0.000
Cu 2.544 2.544 2.544
Cu 4.231 4.231 2.544
Cu 4.231 2.544 4.231
Cu 2.544 4.231 4.231
Rh 5.081 5.081 5.081
```